VASP calculation (PBE) on a relaxed SnAs4Pb5 crystal.

raw total energy = -0.29751 Ry/atom

a b c (Å): 8.3577 9.6417 7.3536
angles (deg): 90.00 90.00 90.00
Closest atoms and distances in Å follow each position.
Space group Pmmn (No. 59, origin choice 2)
One atom of each set of equivalent atoms:
Sn 0.2500 0.2500 0.1564 (multiplicity 2)  4 As 2.73-2.85
As 0.0863 0.7500 0.9115 (multiplicity 4)  1 As 2.74, 1 Sn 2.85, 1 Pb 3.02
As 0.2500 0.0486 0.4172 (multiplicity 4)  1 Sn 2.73, 3 Pb 2.93-3.03
Pb 0.0333 0.0669 0.7623 (multiplicity 8)  4 As 2.93-3.28
Pb 0.2500 0.7500 0.5447 (multiplicity 2)  4 As 3.02-3.03